1.
! HfVAgSn2 | Alexandria | PBE | relaxed; values from VASP
&SYSTEM
  ibrav = 0, nat = 5, ntyp = 4
/
ATOMIC_SPECIES
Hf 178.49 Hf.upf
Sn 118.71 Sn.upf
Ag 107.87 Ag.upf
V 50.94 V.upf
CELL_PARAMETERS angstrom
-1.470 4.927 1.690
-2.357 -2.133 4.169
4.605 0.409 2.813
ATOMIC_POSITIONS crystal
Hf 0.000 0.000 0.000
Sn 0.000 0.000 0.500
Sn 0.500 0.000 0.000
Ag 0.000 0.500 0.000
V 0.500 0.500 0.500
! Crystal system ... tetragonal
! Space group ... No. 123
! Formation enthalpy at 0 K ... 1105.1 meV/atom
! DOS(E_F) ... 6.58 states/eV per cell
! DFT total energy ... -4.881 eV per atom

2.
! SrHfAg2 | Alexandria | PBE | relaxed; values from VASP
&SYSTEM
  ibrav = 0, nat = 8, ntyp = 3
/
ATOMIC_SPECIES
Sr 87.62 Sr.upf
Hf 178.49 Hf.upf
Ag 107.87 Ag.upf
CELL_PARAMETERS angstrom
-7.375 -2.208 -1.882
2.897 -5.340 -5.088
-2.172 -6.210 -0.890
ATOMIC_POSITIONS crystal
Sr 0.500 0.500 0.000
Sr 0.250 0.750 0.500
Hf 0.000 0.000 0.000
Hf 0.750 0.250 0.500
Ag 0.668 0.125 0.250
Ag 0.082 0.625 0.250
Ag 0.375 0.332 0.750
Ag 0.875 0.918 0.750
! Crystal system ... tetragonal
! Space group ... No. 122
! Distance to the lowest polymorph of the same formula ... 254 meV per atom
! Formation enthalpy at 0 K ... 440.2 meV/atom
! DOS(E_F) ... 12.05 states/eV per cell
! DFT total energy ... -3.894 eV per atom

3.
! Sr2HfAg2 | Alexandria | PBE | relaxed; values from VASP
&SYSTEM
  ibrav = 0, nat = 10, ntyp = 3
/
ATOMIC_SPECIES
Sr 87.62 Sr.upf
Hf 178.49 Hf.upf
Ag 107.87 Ag.upf
CELL_PARAMETERS angstrom
7.536 0.000 0.000
0.000 7.536 0.000
0.000 0.000 5.129
ATOMIC_POSITIONS crystal
Sr 0.175 0.675 0.500
Sr 0.675 0.825 0.500
Sr 0.825 0.325 0.500
Sr 0.325 0.175 0.500
Hf 0.000 0.000 0.000
Hf 0.500 0.500 0.000
Ag 0.365 0.865 0.000
Ag 0.865 0.635 0.000
Ag 0.635 0.135 0.000
Ag 0.135 0.365 0.000
! Crystal system ... tetragonal
! Space group ... No. 127
! Distance to the lowest polymorph of the same formula ... 0 meV per atom
! Formation enthalpy at 0 K ... 121.3 meV/atom
! DOS(E_F) ... 5.02 states/eV per cell
! DFT total energy ... -3.683 eV per atom

- Among the records above, which one has the lowest DFT total energy?
  HfVAgSn2